[1]
# CsRb2LiMo (PBE, optimized geometry)
# * calculated formation energy: 1252 meV/atom
# * VASP energy: -1.85 eV/atom
# * offset from the most stable computed form: 0.000 eV per atom
data_CsRb2LiMo
_symmetry_space_group_name_H-M 'P 1'
_symmetry_Int_Tables_number 1
_cell_length_a 6.454
_cell_length_b 6.608
_cell_length_c 6.454
_cell_angle_alpha 90.00
_cell_angle_beta 90.00
_cell_angle_gamma 90.00
loop_
_symmetry_equiv_pos_as_xyz
'x,y,z'
loop_
_atom_site_label
_atom_site_type_symbol
_atom_site_fract_x
_atom_site_fract_y
_atom_site_fract_z
Cs1 Cs 0.000 0.500 0.000
Mo1 Mo 0.500 0.500 0.500
Rb1 Rb 0.000 0.000 0.500
Rb2 Rb 0.500 0.000 0.000
Li1 Li 0.000 0.000 0.000



[2]
# CsLiMoS4 (PBE, optimized geometry)
# * VASP energy: -5.21 eV/atom
data_CsLiMoS4
_symmetry_space_group_name_H-M 'P 1'
_symmetry_Int_Tables_number 1
_cell_length_a 5.995
_cell_length_b 7.749
_cell_length_c 10.096
_cell_angle_alpha 90.00
_cell_angle_beta 108.60
_cell_angle_gamma 90.00
loop_
_symmetry_equiv_pos_as_xyz
'x,y,z'
loop_
_atom_site_label
_atom_site_type_symbol
_atom_site_fract_x
_atom_site_fract_y
_atom_site_fract_z
Cs1 Cs 0.666 0.750 0.862
Cs2 Cs 0.334 0.250 0.138
Li1 Li 0.665 0.750 0.310
Li2 Li 0.335 0.250 0.690
Mo1 Mo 0.150 0.750 0.284
Mo2 Mo 0.850 0.250 0.716
S1 S 0.070 0.480 0.725
S2 S 0.930 0.980 0.275
S3 S 0.930 0.520 0.275
S4 S 0.070 0.020 0.725
S5 S 0.297 0.750 0.108
S6 S 0.703 0.250 0.892
S7 S 0.447 0.750 0.478
S8 S 0.553 0.250 0.522



[3]
# CsLiSbMo2 (PBE, optimized geometry)
# * VASP energy: -3.43 eV/atom
data_CsLiSbMo2
_symmetry_space_group_name_H-M 'P 1'
_symmetry_Int_Tables_number 1
_cell_length_a 5.130
_cell_length_b 4.671
_cell_length_c 5.130
_cell_angle_alpha 90.00
_cell_angle_beta 90.00
_cell_angle_gamma 90.00
loop_
_symmetry_equiv_pos_as_xyz
'x,y,z'
loop_
_atom_site_label
_atom_site_type_symbol
_atom_site_fract_x
_atom_site_fract_y
_atom_site_fract_z
Cs1 Cs 0.000 0.000 0.000
Sb1 Sb 0.500 0.500 0.500
Mo1 Mo 0.000 0.000 0.500
Mo2 Mo 0.500 0.000 0.000
Li1 Li 0.000 0.500 0.000



[4]
# Cs2LiN (PBE, optimized geometry)
# * VASP energy: -2.04 eV/atom
# * offset from the most stable computed form: 0.665 eV per atom
data_Cs2LiN
_symmetry_space_group_name_H-M 'P 1'
_symmetry_Int_Tables_number 1
_cell_length_a 5.464
_cell_length_b 5.464
_cell_length_c 5.464
_cell_angle_alpha 60.00
_cell_angle_beta 60.00
_cell_angle_gamma 60.00
loop_
_symmetry_equiv_pos_as_xyz
'x,y,z'
loop_
_atom_site_label
_atom_site_type_symbol
_atom_site_fract_x
_atom_site_fract_y
_atom_site_fract_z
Cs1 Cs 0.250 0.250 0.250
Cs2 Cs 0.750 0.750 0.750
Li1 Li 0.000 0.000 0.000
N1 N 0.500 0.500 0.500



[5]
# Cs3LiN (PBE, optimized geometry)
# * VASP energy: -2.06 eV/atom
# * offset from the most stable computed form: 0.000 eV per atom
data_Cs3LiN
_symmetry_space_group_name_H-M 'P 1'
_symmetry_Int_Tables_number 1
_cell_length_a 6.272
_cell_length_b 6.272
_cell_length_c 6.272
_cell_angle_alpha 90.00
_cell_angle_beta 90.00
_cell_angle_gamma 90.00
loop_
_symmetry_equiv_pos_as_xyz
'x,y,z'
loop_
_atom_site_label
_atom_site_type_symbol
_atom_site_fract_x
_atom_site_fract_y
_atom_site_fract_z
Cs1 Cs 0.000 0.500 0.000
Cs2 Cs 0.000 0.000 0.500
Cs3 Cs 0.500 0.000 0.000
Li1 Li 0.500 0.500 0.500
N1 N 0.000 0.000 0.000



[6]
# CsLiN (PBE, optimized geometry)
# * VASP energy: -3.70 eV/atom
data_CsLiN
_symmetry_space_group_name_H-M 'P 1'
_symmetry_Int_Tables_number 1
_cell_length_a 3.920
_cell_length_b 4.592
_cell_length_c 10.594
_cell_angle_alpha 79.05
_cell_angle_beta 90.00
_cell_angle_gamma 115.26
loop_
_symmetry_equiv_pos_as_xyz
'x,y,z'
loop_
_atom_site_label
_atom_site_type_symbol
_atom_site_fract_x
_atom_site_fract_y
_atom_site_fract_z
Li1 Li 0.806 0.611 0.004
Li2 Li 0.194 0.389 0.996
N1 N 0.421 0.841 0.000
N2 N 0.579 0.159 0.000
Cs1 Cs 0.936 0.873 0.261
Cs2 Cs 0.064 0.127 0.739



[7]
# Cs2LiN (PBE, optimized geometry)
# * VASP energy: -2.70 eV/atom
# * offset from the most stable computed form: 0.000 eV per atom
data_Cs2LiN
_symmetry_space_group_name_H-M 'P 1'
_symmetry_Int_Tables_number 1
_cell_length_a 8.873
_cell_length_b 8.873
_cell_length_c 8.873
_cell_angle_alpha 92.87
_cell_angle_beta 92.87
_cell_angle_gamma 154.12
loop_
_symmetry_equiv_pos_as_xyz
'x,y,z'
loop_
_atom_site_label
_atom_site_type_symbol
_atom_site_fract_x
_atom_site_fract_y
_atom_site_fract_z
Cs1 Cs 0.074 0.375 0.199
Cs2 Cs 0.176 0.875 0.801
Cs3 Cs 0.125 0.926 0.301
Cs4 Cs 0.625 0.824 0.699
Li1 Li 0.500 0.500 0.000
Li2 Li 0.750 0.250 0.500
N1 N 0.000 0.000 0.000
N2 N 0.250 0.750 0.500



[8]
# CsLi3N (PBE, optimized geometry)
# * VASP energy: -1.10 eV/atom
# * offset from the most stable computed form: 1.702 eV per atom
data_CsLi3N
_symmetry_space_group_name_H-M 'P 1'
_symmetry_Int_Tables_number 1
_cell_length_a 5.070
_cell_length_b 5.070
_cell_length_c 5.070
_cell_angle_alpha 90.00
_cell_angle_beta 90.00
_cell_angle_gamma 90.00
loop_
_symmetry_equiv_pos_as_xyz
'x,y,z'
loop_
_atom_site_label
_atom_site_type_symbol
_atom_site_fract_x
_atom_site_fract_y
_atom_site_fract_z
Cs1 Cs 0.000 0.000 0.000
Li1 Li 0.000 0.500 0.000
Li2 Li 0.000 0.000 0.500
Li3 Li 0.500 0.000 0.000
N1 N 0.500 0.500 0.500



[9]
# CsLi3N (PBE, optimized geometry)
# * VASP energy: -2.80 eV/atom
# * offset from the most stable computed form: 0.000 eV per atom
data_CsLi3N
_symmetry_space_group_name_H-M 'P 1'
_symmetry_Int_Tables_number 1
_cell_length_a 4.395
_cell_length_b 4.395
_cell_length_c 4.395
_cell_angle_alpha 90.00
_cell_angle_beta 90.00
_cell_angle_gamma 90.00
loop_
_symmetry_equiv_pos_as_xyz
'x,y,z'
loop_
_atom_site_label
_atom_site_type_symbol
_atom_site_fract_x
_atom_site_fract_y
_atom_site_fract_z
Cs1 Cs 0.500 0.500 0.500
Li1 Li 0.000 0.500 0.000
Li2 Li 0.000 0.000 0.500
Li3 Li 0.500 0.000 0.000
N1 N 0.000 0.000 0.000



[10]
# CsLiN2 (PBE, optimized geometry)
# * VASP energy: -3.64 eV/atom
# * offset from the most stable computed form: 0.211 eV per atom
data_CsLiN2
_symmetry_space_group_name_H-M 'P 1'
_symmetry_Int_Tables_number 1
_cell_length_a 6.353
_cell_length_b 6.353
_cell_length_c 5.209
_cell_angle_alpha 79.52
_cell_angle_beta 79.52
_cell_angle_gamma 113.51
loop_
_symmetry_equiv_pos_as_xyz
'x,y,z'
loop_
_atom_site_label
_atom_site_type_symbol
_atom_site_fract_x
_atom_site_fract_y
_atom_site_fract_z
Cs1 Cs 0.155 0.845 0.250
Cs2 Cs 0.845 0.155 0.750
Li1 Li 0.521 0.479 0.250
Li2 Li 0.479 0.521 0.750
N1 N 0.227 0.390 0.114
N2 N 0.773 0.610 0.886
N3 N 0.610 0.773 0.386
N4 N 0.390 0.227 0.614



[11]
# CsLiN2 (PBE, optimized geometry)
# * VASP energy: -3.85 eV/atom
# * offset from the most stable computed form: 0.000 eV per atom
data_CsLiN2
_symmetry_space_group_name_H-M 'P 1'
_symmetry_Int_Tables_number 1
_cell_length_a 6.006
_cell_length_b 6.006
_cell_length_c 6.006
_cell_angle_alpha 35.03
_cell_angle_beta 35.03
_cell_angle_gamma 35.03
loop_
_symmetry_equiv_pos_as_xyz
'x,y,z'
loop_
_atom_site_label
_atom_site_type_symbol
_atom_site_fract_x
_atom_site_fract_y
_atom_site_fract_z
Cs1 Cs 0.000 0.000 0.000
Li1 Li 0.500 0.500 0.500
N1 N 0.819 0.819 0.819
N2 N 0.181 0.181 0.181



[12]
# CsLi2N (PBE, optimized geometry)
# * VASP energy: -3.22 eV/atom
data_CsLi2N
_symmetry_space_group_name_H-M 'P 1'
_symmetry_Int_Tables_number 1
_cell_length_a 3.715
_cell_length_b 3.715
_cell_length_c 6.217
_cell_angle_alpha 72.62
_cell_angle_beta 72.62
_cell_angle_gamma 60.00
loop_
_symmetry_equiv_pos_as_xyz
'x,y,z'
loop_
_atom_site_label
_atom_site_type_symbol
_atom_site_fract_x
_atom_site_fract_y
_atom_site_fract_z
Cs1 Cs 0.000 0.000 0.000
Li1 Li 0.177 0.177 0.470
Li2 Li 0.823 0.823 0.530
N1 N 0.500 0.500 0.500



[13]
# CsLi2N (PBE, optimized geometry)
# * VASP energy: -3.35 eV/atom
data_CsLi2N
_symmetry_space_group_name_H-M 'P 1'
_symmetry_Int_Tables_number 1
_cell_length_a 6.163
_cell_length_b 6.163
_cell_length_c 6.234
_cell_angle_alpha 60.38
_cell_angle_beta 60.38
_cell_angle_gamma 90.00
loop_
_symmetry_equiv_pos_as_xyz
'x,y,z'
loop_
_atom_site_label
_atom_site_type_symbol
_atom_site_fract_x
_atom_site_fract_y
_atom_site_fract_z
Cs1 Cs 0.000 0.000 0.000
Cs2 Cs 0.750 0.250 0.500
Li1 Li 0.375 0.125 0.250
Li2 Li 0.375 0.625 0.250
Li3 Li 0.375 0.625 0.750
Li4 Li 0.875 0.625 0.750
N1 N 0.500 0.500 0.000
N2 N 0.250 0.750 0.500